Entry 1:
An optimized crystal structure of Y4HoTl5. Source: the Alexandria database, functional PBE-GGA.

Cell lengths 3.759, 3.759, 19.373 Å; angles 90.00, 90.00, 90.00 degrees
Space group P4/mmm (No. 123)
Inequivalent atoms, fractional coordinates:
Y 0.000 0.000 0.100 [2 per cell]
Y 0.000 0.000 0.301 [2 per cell]
Ho 0.000 0.000 0.500 [1 per cell]
Tl 0.500 0.500 0.000 [1 per cell]
Tl 0.500 0.500 0.201 [2 per cell]
Tl 0.500 0.500 0.401 [2 per cell]

The formation energy is -0.366 eV/atom.

Entry 2:
An optimized crystal structure of Cu2SbF. Source: the Alexandria database, functional PBE-GGA.

Cell lengths 6.319, 6.319, 6.516 Å; angles 90.00, 90.00, 90.00 degrees
Space group I-42d (No. 122)
Inequivalent atoms, fractional coordinates:
Cu 0.194 0.250 0.125 [8 per cell]
Sb 0.000 0.000 0.500 [4 per cell]
F 0.000 0.000 0.000 [4 per cell]

The value obtained for the energy above the most stable polymorph in this dataset is 0.0 kJ per mole of atoms. The uncorrected formation energy comes out at -335 meV per atom.

Entry 3:
An optimized crystal structure of RbCeBi. Source: the Alexandria database, functional PBE-GGA.

Cell lengths 4.416, 4.416, 14.708 Å; angles 90.00, 90.00, 90.00 degrees
Space group I4mm (No. 107)
Inequivalent atoms, fractional coordinates:
Rb 0.000 0.000 0.000 [2 per cell]
Ce 0.000 0.000 0.263 [2 per cell]
Bi 0.000 0.000 0.709 [2 per cell]

The formation energy is -0.207 eV/atom.

Entry 4:
An optimized crystal structure of TmScPb2. Source: the Alexandria database, functional PBE-GGA.

Cell lengths 8.485, 6.281, 8.062 Å; angles 90.00, 90.00, 90.00 degrees
Space group Pnna (No. 52)
Inequivalent atoms, fractional coordinates:
Tm 0.063 0.250 0.250 [4 per cell]
Sc 0.250 0.000 0.563 [4 per cell]
Pb 0.057 0.750 0.250 [4 per cell]
Pb 0.250 0.000 0.938 [4 per cell]

The formation energy is -0.252 eV/atom.

Entry 5:
An optimized crystal structure of HfU2TiP4. Source: the Alexandria database, functional PBE-GGA.

Cell lengths 6.529, 3.766, 6.542 Å; angles 90.00, 109.38, 90.00 degrees
Space group P2/m (No. 10)
Inequivalent atoms, fractional coordinates:
Hf 0.000 0.000 0.000 [1 per cell]
U 0.000 0.500 0.500 [1 per cell]
U 0.500 0.000 0.500 [1 per cell]
Ti 0.500 0.500 0.000 [1 per cell]
P 0.250 0.500 0.231 [2 per cell]
P 0.264 0.000 0.773 [2 per cell]

The formation energy is -1.118 eV/atom.

Entry 6:
An optimized crystal structure of RuAu3Br. Source: the Alexandria database, functional PBE-GGA.

Cell lengths 5.086, 5.086, 5.086 Å; angles 90.00, 90.00, 90.00 degrees
Space group Pm-3m (No. 221)
Inequivalent atoms, fractional coordinates:
Ru 0.000 0.000 0.000 [1 per cell]
Au 0.000 0.000 0.500 [3 per cell]
Br 0.500 0.500 0.500 [1 per cell]

The value obtained for the energy above the most stable polymorph in this dataset is 0.0 kJ per mole of atoms. The uncorrected formation energy comes out at 1108 meV per atom.

Number 1: VASP energy -4.593 eV/atom, DOS at the Fermi energy 8.3 states/eV per cell. Number 2: VASP energy -3.882 eV/atom, DOS at the Fermi energy 3.3 states/eV per cell. Number 3: VASP energy -3.801 eV/atom, DOS at the Fermi energy 19.1 states/eV per cell. Number 4: VASP energy -4.807 eV/atom, DOS at the Fermi energy 13.4 states/eV per cell. Number 5: VASP energy -8.876 eV/atom, DOS at the Fermi energy 9.9 states/eV per cell. Number 6: VASP energy -3.048 eV/atom, DOS at the Fermi energy 2.7 states/eV per cell.